The following is a DFT calculation (PBE-GGA) of a geometry-optimized In2HgBi2Pb2 structure.

a b c (Å): 5.721 5.538 9.911
angles (deg): 57.87 90.00 121.10
Element x y z (fractional)
1 In 0.573 0.145 0.651
2 In 0.427 0.855 0.349
3 Hg 0.000 0.000 0.500
4 Bi 0.845 0.691 0.226
5 Bi 0.155 0.309 0.774
6 Pb 0.729 0.458 0.907
7 Pb 0.271 0.542 0.093

---

The following is a DFT calculation (PBE-GGA) of a geometry-optimized InHgBi2Pb5 structure.

a b c (Å): 4.387 9.731 13.664
angles (deg): 90.00 90.00 103.03
Element x y z (fractional)
1 In 0.800 0.600 0.535
2 In 0.200 0.400 0.035
3 Hg 0.599 0.198 0.951
4 Hg 0.401 0.802 0.451
5 Bi 0.972 0.945 0.846
6 Bi 0.206 0.411 0.658
7 Bi 0.028 0.055 0.346
8 Bi 0.794 0.589 0.158
9 Pb 0.371 0.743 0.974
10 Pb 0.754 0.507 0.839
11 Pb 0.582 0.165 0.725
12 Pb 0.377 0.754 0.713
13 Pb 0.988 0.975 0.582
14 Pb 0.629 0.257 0.474
15 Pb 0.246 0.493 0.339
16 Pb 0.418 0.835 0.225
17 Pb 0.623 0.246 0.213
18 Pb 0.012 0.025 0.082

---

The following is a DFT calculation (PBE-GGA) of a geometry-optimized InHgBiPb structure.

a b c (Å): 3.706 3.706 9.645
angles (deg): 101.08 101.08 90.00
Element x y z (fractional)
1 In 0.941 0.941 0.882
2 Hg 0.340 0.340 0.681
3 Bi 0.557 0.557 0.115
4 Pb 0.173 0.173 0.347

---

The following is a DFT calculation (PBE-GGA) of a geometry-optimized In2HgBi2Pb4 structure.

a b c (Å): 6.805 7.357 7.131
angles (deg): 126.15 102.49 86.60
Element x y z (fractional)
1 In 0.833 0.389 0.030
2 In 0.167 0.611 0.970
3 Hg 0.000 0.000 0.000
4 Bi 0.223 0.725 0.502
5 Bi 0.777 0.275 0.498
6 Pb 0.597 0.742 0.926
7 Pb 0.701 0.828 0.494
8 Pb 0.403 0.258 0.074
9 Pb 0.299 0.172 0.506

---

The following is a DFT calculation (PBE-GGA) of a geometry-optimized In5Hg2BiPb structure.

a b c (Å): 7.755 7.755 10.457
angles (deg): 111.77 111.77 90.00
Element x y z (fractional)
1 In 0.910 0.410 0.287
2 In 0.623 0.123 0.713
3 In 0.090 0.590 0.713
4 In 0.123 0.090 0.713
5 In 0.590 0.623 0.713
6 In 0.877 0.910 0.287
7 In 0.410 0.377 0.287
8 In 0.377 0.877 0.287
9 In 0.500 0.500 0.000
10 In 0.000 0.000 0.000
11 Hg 0.129 0.371 0.000
12 Hg 0.629 0.129 0.000
13 Hg 0.371 0.871 0.000
14 Hg 0.871 0.629 0.000
15 Bi 0.250 0.750 0.500
16 Bi 0.750 0.250 0.500
17 Pb 0.250 0.250 0.500
18 Pb 0.750 0.750 0.500

---

The following is a DFT calculation (PBE-GGA) of a geometry-optimized In2HgBiPb2 structure.

a b c (Å): 5.165 6.858 10.059
angles (deg): 90.00 90.00 90.00
Element x y z (fractional)
1 In 0.000 0.373 0.828
2 In 0.500 0.145 0.364
3 In 0.000 0.873 0.172
4 In 0.500 0.645 0.636
5 Hg 0.000 0.914 0.491
6 Hg 0.000 0.414 0.509
7 Bi 0.500 0.149 0.690
8 Bi 0.500 0.649 0.310
9 Pb 0.500 0.101 0.019
10 Pb 0.000 0.364 0.178
11 Pb 0.500 0.601 0.981
12 Pb 0.000 0.864 0.822

---

The following is a DFT calculation (PBE-GGA) of a geometry-optimized InHg2Bi2Pb structure.

a b c (Å): 6.421 5.938 9.697
angles (deg): 90.00 90.00 90.00
Element x y z (fractional)
1 In 0.000 0.758 0.601
2 In 0.000 0.258 0.399
3 Hg 0.500 0.257 0.088
4 Hg 0.000 0.259 0.073
5 Hg 0.500 0.757 0.912
6 Hg 0.000 0.759 0.927
7 Bi 0.000 0.258 0.738
8 Bi 0.500 0.257 0.425
9 Bi 0.000 0.758 0.262
10 Bi 0.500 0.757 0.575
11 Pb 0.500 0.257 0.765
12 Pb 0.500 0.757 0.235

---

The following is a DFT calculation (PBE-GGA) of a geometry-optimized InHg2Bi2Pb4 structure.

a b c (Å): 4.643 8.078 7.986
angles (deg): 108.28 90.00 106.70
Element x y z (fractional)
1 In 0.000 0.000 0.000
2 Hg 0.339 0.677 0.996
3 Hg 0.661 0.323 0.004
4 Bi 0.872 0.744 0.314
5 Bi 0.128 0.256 0.686
6 Pb 0.786 0.573 0.672
7 Pb 0.214 0.427 0.328
8 Pb 0.544 0.087 0.334
9 Pb 0.456 0.913 0.666

---

Sequential magnetization output: 0.00 0.00 0.00 0.00 0.00 0.00 0.00 0.00 μB/cell
Sequential energy output: -2.97 -3.23 -2.57 -3.11 -2.36 -2.82 -2.44 -2.85 eV per atom